[1]
First-principles (PBE) data for a relaxed HfCu3F crystal, as listed in the Alexandria database.

The value obtained for the total energy is -4.58 eV per atom. For the uncorrected formation energy, the calculation gives 0.245 eV per atom. As for the excess energy over the best structure of this formula in the dataset: 0.000 eV/atom.

abc: 4.2050 4.2050 4.2050
angles: 90.00 90.00 90.00
Space group Pm-3m (No. 221)
Symmetry-distinct sites (fractional):
Hf: 0.0000 0.0000 0.0000 (multiplicity 1)
Cu: 0.0000 0.5000 0.5000 (multiplicity 3)
F: 0.5000 0.5000 0.5000 (multiplicity 1)

---

[2]
First-principles (PBE) data for a relaxed HfCuF2 crystal, as listed in the Alexandria database.

The value obtained for the total energy is -6.04 eV per atom. For the uncorrected formation energy, the calculation gives -1.591 eV per atom. As for the excess energy over the best structure of this formula in the dataset: 0.057 eV/atom.

abc: 4.0180 4.0180 14.5423
angles: 90.00 90.00 90.00
Space group I-42d (No. 122)
Symmetry-distinct sites (fractional):
Hf: 0.0000 0.0000 0.0000 (multiplicity 4)
Cu: 0.0000 0.0000 0.5000 (multiplicity 4)
F: 0.1403 0.2500 0.1250 (multiplicity 8)

---

[3]
First-principles (PBE) data for a relaxed Hf2CuF crystal, as listed in the Alexandria database.

The value obtained for the total energy is -6.85 eV per atom. For the uncorrected formation energy, the calculation gives -0.385 eV per atom. As for the excess energy over the best structure of this formula in the dataset: 0.166 eV/atom.

abc: 4.8800 4.8800 12.6536
angles: 90.00 90.00 90.00
Space group I-42d (No. 122)
Symmetry-distinct sites (fractional):
Hf: 0.2024 0.2500 0.1250 (multiplicity 8)
Cu: 0.0000 0.0000 0.5000 (multiplicity 4)
F: 0.0000 0.0000 0.0000 (multiplicity 4)

---

[4]
First-principles (PBE) data for a relaxed Hf2Cu2F crystal, as listed in the Alexandria database.

The value obtained for the total energy is -5.88 eV per atom. For the uncorrected formation energy, the calculation gives 0.110 eV per atom. As for the excess energy over the best structure of this formula in the dataset: 0.286 eV/atom.

abc: 4.7273 4.7273 8.3862
angles: 90.00 90.00 90.00
Space group I4/mmm (No. 139)
Symmetry-distinct sites (fractional):
Hf: 0.0000 0.5000 0.2500 (multiplicity 4)
Cu: 0.0000 0.0000 0.1285 (multiplicity 4)
F: 0.0000 0.0000 0.5000 (multiplicity 2)

---

[5]
First-principles (PBE) data for a relaxed Hf2Cu2F crystal, as listed in the Alexandria database.

The value obtained for the total energy is -6.17 eV per atom. For the uncorrected formation energy, the calculation gives -0.176 eV per atom. As for the excess energy over the best structure of this formula in the dataset: 0.000 eV/atom.

abc: 7.3940 7.3940 3.0947
angles: 90.00 90.00 90.00
Space group P4/mbm (No. 127)
Symmetry-distinct sites (fractional):
Hf: 0.1803 0.3197 0.0000 (multiplicity 4)
Cu: 0.1164 0.6164 0.5000 (multiplicity 4)
F: 0.0000 0.0000 0.5000 (multiplicity 2)

---

[6]
First-principles (PBE) data for a relaxed HfCu3F crystal, as listed in the Alexandria database.

The value obtained for the total energy is -3.66 eV per atom. For the uncorrected formation energy, the calculation gives 1.158 eV per atom. As for the excess energy over the best structure of this formula in the dataset: 0.913 eV/atom.

abc: 4.9816 4.9816 4.9816
angles: 90.00 90.00 90.00
Space group Pm-3m (No. 221)
Symmetry-distinct sites (fractional):
Hf: 0.0000 0.0000 0.0000 (multiplicity 1)
Cu: 0.0000 0.0000 0.5000 (multiplicity 3)
F: 0.5000 0.5000 0.5000 (multiplicity 1)

---

[7]
First-principles (PBE) data for a relaxed HfCuF2 crystal, as listed in the Alexandria database.

The value obtained for the total energy is -6.10 eV per atom. For the uncorrected formation energy, the calculation gives -1.648 eV per atom. As for the excess energy over the best structure of this formula in the dataset: 0.000 eV/atom.

abc: 2.8432 2.8432 28.7103
angles: 90.00 90.00 120.00
Space group R-3m (No. 166, hexagonal axes)
Symmetry-distinct sites (fractional):
Hf: 0.0000 0.0000 0.0000 (multiplicity 3)
Cu: 0.0000 0.0000 0.5000 (multiplicity 3)
F: 0.0000 0.0000 0.3865 (multiplicity 6)

---

[8]
First-principles (PBE) data for a relaxed Hf2CuF crystal, as listed in the Alexandria database.

The value obtained for the total energy is -7.02 eV per atom. For the uncorrected formation energy, the calculation gives -0.551 eV per atom. As for the excess energy over the best structure of this formula in the dataset: 0.000 eV/atom.

abc: 6.3592 6.3592 6.3592
angles: 90.00 90.00 90.00
Space group Fm-3m (No. 225)
Symmetry-distinct sites (fractional):
Hf: 0.2500 0.2500 0.2500 (multiplicity 8)
Cu: 0.0000 0.0000 0.0000 (multiplicity 4)
F: 0.0000 0.0000 0.5000 (multiplicity 4)

---

[9]
First-principles (PBE) data for a relaxed HfCuF2 crystal, as listed in the Alexandria database.

The value obtained for the total energy is -5.53 eV per atom. For the uncorrected formation energy, the calculation gives -1.077 eV per atom. As for the excess energy over the best structure of this formula in the dataset: 0.571 eV/atom.

abc: 5.8580 5.8580 5.8580
angles: 90.00 90.00 90.00
Space group Fm-3m (No. 225)
Symmetry-distinct sites (fractional):
Hf: 0.0000 0.0000 0.0000 (multiplicity 4)
Cu: 0.0000 0.0000 0.5000 (multiplicity 4)
F: 0.2500 0.2500 0.2500 (multiplicity 8)

---

[10]
First-principles (PBE) data for a relaxed KHfCu2F8 crystal, as listed in the Alexandria database.

The value obtained for the total energy is -5.36 eV per atom. For the uncorrected formation energy, the calculation gives -2.511 eV per atom.

abc: 5.0477 5.0477 25.2607
angles: 90.00 90.00 120.00
Space group R32 (No. 155, hexagonal axes)
Symmetry-distinct sites (fractional):
K: 0.0000 0.0000 0.0000 (multiplicity 3)
Hf: 0.0000 0.0000 0.5000 (multiplicity 3)
Cu: 0.0000 0.0000 0.2640 (multiplicity 6)
F: 0.0000 0.0000 0.3372 (multiplicity 6)
F: 0.0151 0.3645 0.1163 (multiplicity 18)

---

[11]
First-principles (PBE) data for a relaxed NaHfCuF6 crystal, as listed in the Alexandria database.

The value obtained for the total energy is -5.87 eV per atom. For the uncorrected formation energy, the calculation gives -2.913 eV per atom.

abc: 5.7180 5.7180 9.1137
angles: 90.00 90.00 120.00
Space group P-31c (No. 163)
Symmetry-distinct sites (fractional):
Na: 0.3333 0.6667 0.2500 (multiplicity 2)
Hf: 0.3333 0.6667 0.7500 (multiplicity 2)
Cu: 0.0000 0.0000 0.0000 (multiplicity 2)
F: 0.0409 0.3689 0.6292 (multiplicity 12)

---

[12]
First-principles (PBE) data for a relaxed HfCuO4F6 crystal, as listed in the Alexandria database.

The value obtained for the total energy is -4.95 eV per atom. For the uncorrected formation energy, the calculation gives -1.187 eV per atom.

abc: 4.9950 8.3708 7.9232
angles: 90.00 100.16 90.00
Space group P2_1/c (No. 14)
Symmetry-distinct sites (fractional):
Hf: 0.0000 0.0000 0.0000 (multiplicity 2)
Cu: 0.5000 0.0000 0.5000 (multiplicity 2)
O: 0.1829 0.0567 0.5719 (multiplicity 4)
O: 0.4495 0.7019 0.0772 (multiplicity 4)
F: 0.1489 0.2086 0.9243 (multiplicity 4)
F: 0.2515 0.6322 0.3820 (multiplicity 4)
F: 0.2667 0.5065 0.7179 (multiplicity 4)

---

[13]
First-principles (PBE) data for a relaxed HfCuOF2 crystal, as listed in the Alexandria database.

The value obtained for the total energy is -5.58 eV per atom. For the uncorrected formation energy, the calculation gives -1.034 eV per atom. As for the excess energy over the best structure of this formula in the dataset: 1.157 eV/atom.

abc: 4.0580 4.0580 3.7182
angles: 90.00 90.00 90.00
Space group P4/mmm (No. 123)
Symmetry-distinct sites (fractional):
Hf: 0.0000 0.0000 0.0000 (multiplicity 1)
Cu: 0.5000 0.5000 0.5000 (multiplicity 1)
O: 0.5000 0.5000 0.0000 (multiplicity 1)
F: 0.0000 0.5000 0.5000 (multiplicity 2)

---

[14]
First-principles (PBE) data for a relaxed HfCuO2F crystal, as listed in the Alexandria database.

The value obtained for the total energy is -7.35 eV per atom. For the uncorrected formation energy, the calculation gives -2.186 eV per atom.

abc: 4.0797 4.0797 4.1054
angles: 90.00 90.00 90.00
Space group P4/mmm (No. 123)
Symmetry-distinct sites (fractional):
Hf: 0.0000 0.0000 0.0000 (multiplicity 1)
Cu: 0.5000 0.5000 0.5000 (multiplicity 1)
O: 0.0000 0.5000 0.0000 (multiplicity 2)
F: 0.0000 0.0000 0.5000 (multiplicity 1)

---

[15]
First-principles (PBE) data for a relaxed HfCuO2F crystal, as listed in the Alexandria database.

The value obtained for the total energy is -6.25 eV per atom. For the uncorrected formation energy, the calculation gives -1.087 eV per atom.

abc: 3.8388 3.8388 3.7858
angles: 90.00 90.00 90.00
Space group P4/mmm (No. 123)
Symmetry-distinct sites (fractional):
Hf: 0.0000 0.0000 0.0000 (multiplicity 1)
Cu: 0.5000 0.5000 0.5000 (multiplicity 1)
O: 0.0000 0.5000 0.5000 (multiplicity 2)
F: 0.5000 0.5000 0.0000 (multiplicity 1)

---

[16]
First-principles (PBE) data for a relaxed HfCuOF2 crystal, as listed in the Alexandria database.

The value obtained for the total energy is -6.74 eV per atom. For the uncorrected formation energy, the calculation gives -2.191 eV per atom. As for the excess energy over the best structure of this formula in the dataset: 0.000 eV/atom.

abc: 4.2303 4.2303 3.9983
angles: 90.00 90.00 90.00
Space group P4/mmm (No. 123)
Symmetry-distinct sites (fractional):
Hf: 0.0000 0.0000 0.0000 (multiplicity 1)
Cu: 0.5000 0.5000 0.5000 (multiplicity 1)
O: 0.0000 0.0000 0.5000 (multiplicity 1)
F: 0.0000 0.5000 0.0000 (multiplicity 2)

---

[17]
First-principles (PBE) data for a relaxed HfCuPbF2 crystal, as listed in the Alexandria database.

The value obtained for the total energy is -4.63 eV per atom. For the uncorrected formation energy, the calculation gives -0.329 eV per atom.

abc: 4.4138 4.4138 6.2118
angles: 90.00 90.00 90.00
Space group P4/mmm (No. 123)
Symmetry-distinct sites (fractional):
Hf: 0.0000 0.0000 0.0000 (multiplicity 1)
Cu: 0.5000 0.5000 0.0000 (multiplicity 1)
Pb: 0.0000 0.0000 0.5000 (multiplicity 1)
F: 0.0000 0.5000 0.5000 (multiplicity 2)

---

[18]
First-principles (PBE) data for a relaxed Rb2HfCuF6 crystal, as listed in the Alexandria database.

The value obtained for the total energy is -5.45 eV per atom. For the uncorrected formation energy, the calculation gives -2.732 eV per atom.

abc: 6.6519 6.6519 9.4733
angles: 90.00 90.00 90.00
Space group I4/mmm (No. 139)
Symmetry-distinct sites (fractional):
Rb: 0.0000 0.5000 0.2500 (multiplicity 4)
Hf: 0.0000 0.0000 0.0000 (multiplicity 2)
Cu: 0.0000 0.0000 0.5000 (multiplicity 2)
F: 0.0000 0.0000 0.2120 (multiplicity 4)
F: 0.2134 0.2134 0.0000 (multiplicity 8)

---

[19]
First-principles (PBE) data for a relaxed Hf2CuTeF crystal, as listed in the Alexandria database.

The value obtained for the total energy is -6.11 eV per atom. For the uncorrected formation energy, the calculation gives -0.304 eV per atom.

abc: 4.2980 4.2980 5.2283
angles: 90.00 90.00 90.00
Space group P4/mmm (No. 123)
Symmetry-distinct sites (fractional):
Hf: 0.0000 0.5000 0.0000 (multiplicity 2)
Cu: 0.0000 0.0000 0.5000 (multiplicity 1)
Te: 0.5000 0.5000 0.5000 (multiplicity 1)
F: 0.5000 0.5000 0.0000 (multiplicity 1)

---

[20]
First-principles (PBE) data for a relaxed HfTlCu2F8 crystal, as listed in the Alexandria database.

The value obtained for the total energy is -5.34 eV per atom. For the uncorrected formation energy, the calculation gives -2.379 eV per atom.

abc: 5.1695 5.1695 24.2995
angles: 90.00 90.00 120.00
Space group R-3 (No. 148, hexagonal axes)
Symmetry-distinct sites (fractional):
Hf: 0.0000 0.0000 0.0000 (multiplicity 3)
Tl: 0.0000 0.0000 0.5000 (multiplicity 3)
Cu: 0.0000 0.0000 0.2356 (multiplicity 6)
F: 0.0000 0.0000 0.1592 (multiplicity 6)
F: 0.0064 0.3644 0.6181 (multiplicity 18)